(1)
Nd2HoAg3, optimized geometry, DFT PBE-GGA; DFT formation energy = -283 meV/atom
1.0
3.682 0.000 0.000
0.000 3.682 0.000
0.000 0.000 11.288
Nd Ho Ag
2 1 3
Direct
0.000 0.000 0.171 Nd
0.000 0.000 0.829 Nd
0.000 0.000 0.500 Ho
0.500 0.500 0.000 Ag
0.500 0.500 0.348 Ag
0.500 0.500 0.652 Ag

(2)
Nd2HoAg4, optimized geometry, DFT PBE-GGA; DFT formation energy = -103 meV/atom
1.0
5.383 0.000 0.000
0.000 5.383 0.000
0.000 0.000 12.929
Nd Ho Ag
4 2 8
Direct
0.000 0.000 0.220 Nd
0.000 0.000 0.780 Nd
0.500 0.500 0.280 Nd
0.500 0.500 0.720 Nd
0.000 0.000 0.500 Ho
0.500 0.500 0.000 Ho
0.000 0.500 0.114 Ag
0.000 0.500 0.386 Ag
0.000 0.500 0.614 Ag
0.000 0.500 0.886 Ag
0.500 0.000 0.114 Ag
0.500 0.000 0.386 Ag
0.500 0.000 0.614 Ag
0.500 0.000 0.886 Ag

(3)
Nd3HoAg2, optimized geometry, DFT PBE-GGA; DFT formation energy = 63 meV/atom; ΔE to the lowest computed polymorph = 220 meV per atom
1.0
-3.544 7.150 3.860
3.544 -7.150 3.860
3.544 7.150 -3.860
Nd Ho Ag
6 2 4
Direct
0.027 0.750 0.277 Nd
0.250 0.250 0.000 Nd
0.473 0.750 0.723 Nd
0.527 0.250 0.277 Nd
0.750 0.750 0.000 Nd
0.973 0.250 0.723 Nd
0.000 0.500 0.500 Ho
0.500 0.000 0.500 Ho
0.140 0.196 0.336 Ag
0.360 0.696 0.055 Ag
0.640 0.304 0.945 Ag
0.860 0.804 0.664 Ag

(4)
Nd3HoAg4, optimized geometry, DFT PBE-GGA; DFT formation energy = -275 meV/atom
1.0
3.704 0.000 0.000
0.000 3.704 0.000
0.000 0.000 15.033
Nd Ho Ag
3 1 4
Direct
0.000 0.000 0.000 Nd
0.000 0.000 0.255 Nd
0.000 0.000 0.745 Nd
0.000 0.000 0.500 Ho
0.500 0.500 0.127 Ag
0.500 0.500 0.387 Ag
0.500 0.500 0.613 Ag
0.500 0.500 0.873 Ag

(5)
Nd2HoAg2, optimized geometry, DFT PBE-GGA; DFT formation energy = -111 meV/atom; ΔE to the lowest computed polymorph = 80 meV per atom
1.0
1.860 -8.335 0.000
1.860 8.335 0.000
0.000 0.000 9.094
Nd Ho Ag
4 2 4
Direct
0.134 0.866 0.500 Nd
0.320 0.680 0.674 Nd
0.680 0.320 0.174 Nd
0.866 0.134 0.000 Nd
0.461 0.539 0.333 Ho
0.539 0.461 0.833 Ho
0.041 0.959 0.111 Ag
0.185 0.815 0.895 Ag
0.815 0.185 0.395 Ag
0.959 0.041 0.611 Ag

(6)
NdHoAg2, optimized geometry, DFT PBE-GGA; DFT formation energy = -297 meV/atom; ΔE to the lowest computed polymorph = 0 meV per atom
1.0
3.647 0.000 0.000
0.000 3.647 0.000
0.000 0.000 7.529
Nd Ho Ag
1 1 2
Direct
0.000 0.000 0.000 Nd
0.000 0.000 0.500 Ho
0.500 0.500 0.271 Ag
0.500 0.500 0.729 Ag

(7)
Nd5Ho3Ag2, optimized geometry, DFT PBE-GGA; DFT formation energy = 138 meV/atom
1.0
-5.791 8.113 3.406
5.791 -8.113 3.406
5.791 8.113 -3.406
Nd Ho Ag
10 6 4
Direct
0.053 0.250 0.803 Nd
0.068 0.233 0.301 Nd
0.250 0.250 0.000 Nd
0.432 0.733 0.165 Nd
0.447 0.250 0.197 Nd
0.553 0.750 0.803 Nd
0.568 0.267 0.835 Nd
0.750 0.750 0.000 Nd
0.932 0.767 0.699 Nd
0.947 0.750 0.197 Nd
0.167 0.722 0.889 Ho
0.250 0.750 0.500 Ho
0.333 0.222 0.555 Ho
0.667 0.778 0.445 Ho
0.750 0.250 0.500 Ho
0.833 0.278 0.111 Ho
0.152 0.458 0.610 Ag
0.348 0.958 0.306 Ag
0.652 0.042 0.694 Ag
0.848 0.542 0.390 Ag

(8)
Nd3Ho2Ag3, optimized geometry, DFT PBE-GGA; DFT formation energy = -192 meV/atom
1.0
3.707 0.000 0.000
0.000 5.420 0.000
0.000 0.000 22.028
Nd Ho Ag
6 4 6
Direct
0.000 0.000 0.000 Nd
0.000 0.500 0.122 Nd
0.000 0.500 0.878 Nd
0.500 0.000 0.378 Nd
0.500 0.000 0.622 Nd
0.500 0.500 0.500 Nd
0.000 0.000 0.232 Ho
0.000 0.000 0.768 Ho
0.500 0.500 0.268 Ho
0.500 0.500 0.732 Ho
0.000 0.000 0.500 Ag
0.000 0.500 0.378 Ag
0.000 0.500 0.622 Ag
0.500 0.000 0.122 Ag
0.500 0.000 0.878 Ag
0.500 0.500 0.000 Ag

(9)
NdHoAg3, optimized geometry, DFT PBE-GGA; DFT formation energy = -261 meV/atom
1.0
1.786 -14.034 0.000
1.786 14.034 0.000
0.000 0.000 4.813
Nd Ho Ag
2 2 6
Direct
0.075 0.925 0.750 Nd
0.925 0.075 0.250 Nd
0.210 0.790 0.250 Ho
0.790 0.210 0.750 Ho
0.321 0.679 0.250 Ag
0.377 0.623 0.750 Ag
0.476 0.524 0.750 Ag
0.524 0.476 0.250 Ag
0.623 0.377 0.250 Ag
0.679 0.321 0.750 Ag

(10)
Nd3HoAg2, optimized geometry, DFT PBE-GGA; DFT formation energy = -156 meV/atom; ΔE to the lowest computed polymorph = 0 meV per atom
1.0
5.248 0.000 0.000
0.000 9.427 0.000
0.000 0.000 6.996
Nd Ho Ag
6 2 4
Direct
0.000 0.061 0.000 Nd
0.000 0.336 0.347 Nd
0.000 0.664 0.847 Nd
0.000 0.939 0.500 Nd
0.500 0.171 0.667 Nd
0.500 0.829 0.167 Nd
0.500 0.441 0.018 Ho
0.500 0.559 0.518 Ho
0.000 0.349 0.784 Ag
0.000 0.651 0.284 Ag
0.500 0.158 0.232 Ag
0.500 0.842 0.732 Ag

(11)
Nd2HoAg2, optimized geometry, DFT PBE-GGA; DFT formation energy = -191 meV/atom; ΔE to the lowest computed polymorph = 0 meV per atom
1.0
3.710 0.000 0.000
0.000 5.325 0.000
-1.856 0.000 13.779
Nd Ho Ag
4 2 4
Direct
0.045 0.250 0.093 Nd
0.235 0.250 0.468 Nd
0.765 0.750 0.532 Nd
0.955 0.750 0.907 Nd
0.145 0.750 0.290 Ho
0.855 0.250 0.710 Ho
0.359 0.750 0.719 Ag
0.448 0.250 0.894 Ag
0.552 0.750 0.106 Ag
0.641 0.250 0.281 Ag

(12)
Nd2Ho2Ag, optimized geometry, DFT PBE-GGA; DFT formation energy = -104 meV/atom
1.0
3.614 0.000 0.000
0.000 3.614 0.000
0.000 0.000 22.886
Nd Ho Ag
4 4 2
Direct
0.000 0.000 0.192 Nd
0.000 0.000 0.808 Nd
0.500 0.500 0.308 Nd
0.500 0.500 0.692 Nd
0.000 0.000 0.420 Ho
0.000 0.000 0.580 Ho
0.500 0.500 0.080 Ho
0.500 0.500 0.920 Ho
0.000 0.000 0.000 Ag
0.500 0.500 0.500 Ag

(13)
NdHoAg6, optimized geometry, DFT PBE-GGA; DFT formation energy = -192 meV/atom
1.0
9.297 0.000 0.000
0.000 4.592 0.000
-4.439 0.000 7.993
Nd Ho Ag
2 2 12
Direct
0.000 0.000 0.000 Nd
0.500 0.500 0.000 Nd
0.000 0.000 0.500 Ho
0.500 0.500 0.500 Ho
0.005 0.500 0.747 Ag
0.247 0.500 0.617 Ag
0.248 0.000 0.865 Ag
0.252 0.500 0.135 Ag
0.253 0.000 0.383 Ag
0.495 0.000 0.253 Ag
0.505 0.000 0.747 Ag
0.747 0.000 0.617 Ag
0.748 0.500 0.865 Ag
0.752 0.000 0.135 Ag
0.753 0.500 0.383 Ag
0.995 0.500 0.253 Ag

(14)
Nd3HoAg3, optimized geometry, DFT PBE-GGA; DFT formation energy = -117 meV/atom
1.0
5.066 -5.454 0.000
5.066 5.454 0.000
-0.150 0.000 7.174
Nd Ho Ag
6 2 6
Direct
0.178 0.822 0.000 Nd
0.272 0.728 0.500 Nd
0.359 0.359 0.127 Nd
0.641 0.641 0.873 Nd
0.728 0.272 0.500 Nd
0.822 0.178 0.000 Nd
0.252 0.252 0.635 Ho
0.748 0.748 0.365 Ho
0.008 0.511 0.771 Ag
0.067 0.067 0.323 Ag
0.489 0.992 0.229 Ag
0.511 0.008 0.771 Ag
0.933 0.933 0.677 Ag
0.992 0.489 0.229 Ag

(15)
NdHo4Ag2, optimized geometry, DFT PBE-GGA; DFT formation energy = 166 meV/atom
1.0
2.463 1.422 10.355
-2.463 1.422 10.355
0.000 -2.844 10.355
Nd Ho Ag
1 4 2
Direct
0.000 0.000 0.000 Nd
0.201 0.201 0.201 Ho
0.398 0.398 0.398 Ho
0.602 0.602 0.602 Ho
0.799 0.799 0.799 Ho
0.102 0.102 0.102 Ag
0.898 0.898 0.898 Ag

(16)
NdHoNiAg, optimized geometry, DFT PBE-GGA; DFT formation energy = -259 meV/atom
1.0
7.143 0.000 0.000
0.000 7.143 0.000
0.000 0.000 7.143
Nd Ho Ni Ag
4 4 4 4
Direct
0.000 0.000 0.000 Nd
0.000 0.500 0.500 Nd
0.500 0.000 0.500 Nd
0.500 0.500 0.000 Nd
0.000 0.000 0.500 Ho
0.000 0.500 0.000 Ho
0.500 0.000 0.000 Ho
0.500 0.500 0.500 Ho
0.250 0.250 0.250 Ni
0.250 0.750 0.750 Ni
0.750 0.250 0.750 Ni
0.750 0.750 0.250 Ni
0.250 0.250 0.750 Ag
0.250 0.750 0.250 Ag
0.750 0.250 0.250 Ag
0.750 0.750 0.750 Ag

(17)
NdHoAgOs, optimized geometry, DFT PBE-GGA; DFT formation energy = -179 meV/atom
1.0
7.102 0.000 0.000
0.000 7.102 0.000
0.000 0.000 7.102
Nd Ho Ag Os
4 4 4 4
Direct
0.000 0.000 0.000 Nd
0.000 0.500 0.500 Nd
0.500 0.000 0.500 Nd
0.500 0.500 0.000 Nd
0.000 0.000 0.500 Ho
0.000 0.500 0.000 Ho
0.500 0.000 0.000 Ho
0.500 0.500 0.500 Ho
0.250 0.250 0.750 Ag
0.250 0.750 0.250 Ag
0.750 0.250 0.250 Ag
0.750 0.750 0.750 Ag
0.250 0.250 0.250 Os
0.250 0.750 0.750 Os
0.750 0.250 0.750 Os
0.750 0.750 0.250 Os

(18)
NdHoAgPt, optimized geometry, DFT PBE-GGA; DFT formation energy = -721 meV/atom
1.0
7.212 0.000 0.000
0.000 7.212 0.000
0.000 0.000 7.212
Nd Ho Ag Pt
4 4 4 4
Direct
0.000 0.000 0.000 Nd
0.000 0.500 0.500 Nd
0.500 0.000 0.500 Nd
0.500 0.500 0.000 Nd
0.000 0.000 0.500 Ho
0.000 0.500 0.000 Ho
0.500 0.000 0.000 Ho
0.500 0.500 0.500 Ho
0.250 0.250 0.750 Ag
0.250 0.750 0.250 Ag
0.750 0.250 0.250 Ag
0.750 0.750 0.750 Ag
0.250 0.250 0.250 Pt
0.250 0.750 0.750 Pt
0.750 0.250 0.750 Pt
0.750 0.750 0.250 Pt

(19)
NdHoAgRh, optimized geometry, DFT PBE-GGA; DFT formation energy = -502 meV/atom
1.0
7.156 0.000 0.000
0.000 7.156 0.000
0.000 0.000 7.156
Nd Ho Ag Rh
4 4 4 4
Direct
0.000 0.000 0.000 Nd
0.000 0.500 0.500 Nd
0.500 0.000 0.500 Nd
0.500 0.500 0.000 Nd
0.000 0.000 0.500 Ho
0.000 0.500 0.000 Ho
0.500 0.000 0.000 Ho
0.500 0.500 0.500 Ho
0.250 0.250 0.250 Ag
0.250 0.750 0.750 Ag
0.750 0.250 0.750 Ag
0.750 0.750 0.250 Ag
0.250 0.250 0.750 Rh
0.250 0.750 0.250 Rh
0.750 0.250 0.250 Rh
0.750 0.750 0.750 Rh

(20)
NdHoAgRu, optimized geometry, DFT PBE-GGA; DFT formation energy = -335 meV/atom; ΔE to the lowest computed polymorph = 0 meV per atom
1.0
3.463 0.000 0.000
0.000 3.463 0.000
0.000 0.000 7.634
Nd Ho Ag Ru
1 1 1 1
Direct
0.000 0.000 0.000 Nd
0.000 0.000 0.554 Ho
0.500 0.500 0.296 Ag
0.500 0.500 0.765 Ru